The following is a PBE-GGA calculation of a relaxed Li2TaTe crystal, from the Alexandria database.

It has space group Pmm2 (No. 25), with a = 2.8559 Å, b = 4.9200 Å, c = 5.5504 Å, α = 90.00°, β = 90.00° and γ = 90.00°. The distinct sites, in fractional coordinates, are Li at (0.0000, 0.0000, 0.0000), Li at (0.0000, 0.5000, 0.2663), Ta at (0.5000, 0.5000, 0.7712) and Te at (0.5000, 0.0000, 0.5118).

The calculation puts the density at 6.87 Mg/m³. The calculation puts the total energy at -4.4816 eV per atom. The value obtained for the total magnetization is 0.003 μB/f.u. The calculation puts the uncorrected formation energy at 22 kJ per mole of atoms.

The following is a PBE-GGA calculation of a relaxed PaTiVRh crystal, from the Alexandria database.

It has space group F-43m (No. 216), with a = 6.5349 Å, b = 6.5349 Å, c = 6.5349 Å, α = 90.00°, β = 90.00° and γ = 90.00°. The distinct sites, in fractional coordinates, are Pa at (0.0000, 0.0000, 0.0000), Ti at (0.0000, 0.0000, 0.5000), V at (0.2500, 0.2500, 0.2500) and Rh at (0.2500, 0.2500, 0.7500).

The calculation puts the density at 10.30 Mg/m³. The calculation puts the total energy at -8.7104 eV per atom. The value obtained for the total magnetization is 0.000 μB/f.u. The value obtained for the calculated formation energy is -245.2 meV/atom.

The following is a PBE-GGA calculation of a relaxed Ba14SrIr crystal, from the Alexandria database.

It has space group Amm2 (No. 38), with a = 12.0120 Å, b = 11.1651 Å, c = 14.0960 Å, α = 90.00°, β = 90.00° and γ = 90.00°. The distinct sites, in fractional coordinates, are Ba at (0.0000, 0.0000, 0.0000), Ba at (0.0000, 0.0000, 0.4707), Ba at (0.0000, 0.2189, 0.7333), Ba at (0.2374, 0.0000, 0.2329), Ba at (0.2851, 0.0000, 0.7852), Ba at (0.3181, 0.1798, 0.5230), Ba at (0.5000, 0.2426, 0.2617), Sr at (0.5000, 0.0000, 0.0196) and Ir at (0.5000, 0.0000, 0.6480).

The calculation puts the density at 3.87 Mg/m³. The calculation puts the total energy at -2.3040 eV per atom. The value obtained for the total magnetization is 0.001 μB/f.u. The value obtained for the calculated formation energy is 37.3 meV/atom.

The following is a PBE-GGA calculation of a relaxed Ba2ReMo crystal, from the Alexandria database.

It has space group Immm (No. 71), with a = 3.5271 Å, b = 3.8424 Å, c = 19.2887 Å, α = 90.00°, β = 90.00° and γ = 90.00°. The distinct sites, in fractional coordinates, are Ba at (0.0000, 0.0000, 0.1446), Re at (0.0000, 0.5000, 0.5000) and Mo at (0.0000, 0.5000, 0.0000).

The calculation puts the density at 7.07 Mg/m³. The calculation puts the total energy at -6.0604 eV per atom. The value obtained for the total magnetization is 0.554 μB/f.u. The value obtained for the calculated formation energy is 720.8 meV/atom. As for the energy relative to the lowest polymorph listed for this composition: 219 meV per atom.

The following is a PBE-GGA calculation of a relaxed Nd6HgSb5 crystal, from the Alexandria database.

It has space group C2/m (No. 12), with a = 7.8452 Å, b = 13.5037 Å, c = 7.8301 Å, α = 90.00°, β = 109.26° and γ = 90.00°. The distinct sites, in fractional coordinates, are Nd at (0.2398, 0.0000, 0.2561), Nd at (0.2409, 0.1729, 0.7445), Hg at (0.0000, 0.5000, 0.0000), Sb at (0.0000, 0.0000, 0.5000), Sb at (0.0000, 0.1675, 0.0000) and Sb at (0.0000, 0.3362, 0.5000).

The calculation puts the density at 7.10 Mg/m³. The calculation puts the total energy at -5.1595 eV per atom. The value obtained for the total magnetization is 0.000 μB/f.u. The calculation puts the uncorrected formation energy at -100 kJ per mole of atoms.

The following is a PBE-GGA calculation of a relaxed ZnCoCl crystal, from the Alexandria database.

It has space group P-6m2 (No. 187), with a = 4.0477 Å, b = 4.0477 Å, c = 3.2579 Å, α = 90.00°, β = 90.00° and γ = 120.00°. The distinct sites, in fractional coordinates, are Zn at (0.0000, 0.0000, 0.0000), Co at (0.3333, 0.6667, 0.5000) and Cl at (0.6667, 0.3333, 0.5000).

The calculation puts the density at 5.74 Mg/m³. The calculation puts the total energy at -3.0247 eV per atom. The value obtained for the total magnetization is 1.329 μB/f.u. The calculation puts the uncorrected formation energy at 37 kJ per mole of atoms. As for the energy relative to the lowest polymorph listed for this composition: 360 meV per atom.

The following is a PBE-GGA calculation of a relaxed Ba2CuPt crystal, from the Alexandria database.

It has space group Amm2 (No. 38), with a = 4.5814 Å, b = 4.5826 Å, c = 12.0424 Å, α = 90.00°, β = 90.00° and γ = 90.00°. The distinct sites, in fractional coordinates, are Ba at (0.0000, 0.0000, 0.0000), Ba at (0.5000, 0.0000, 0.2775), Cu at (0.5000, 0.0000, 0.5850) and Pt at (0.0000, 0.0000, 0.6991).

The calculation puts the density at 7.01 Mg/m³. The calculation puts the total energy at -3.9185 eV per atom. The value obtained for the total magnetization is 0.000 μB/f.u. The value obtained for the calculated formation energy is -422.9 meV/atom.

The following is a PBE-GGA calculation of a relaxed Cs2Na2Cl2O crystal, from the Alexandria database.

It has space group I4/mmm (No. 139), with a = 4.7778 Å, b = 4.7778 Å, c = 17.8793 Å, α = 90.00°, β = 90.00° and γ = 90.00°. The distinct sites, in fractional coordinates, are Cs at (0.0000, 0.0000, 0.1566), Na at (0.0000, 0.5000, 0.0000), Cl at (0.0000, 0.0000, 0.3808) and O at (0.0000, 0.0000, 0.0000).

The calculation puts the density at 3.24 Mg/m³. The calculation puts the total energy at -3.4223 eV per atom. The value obtained for the total magnetization is 0.060 μB/f.u. The calculation puts the uncorrected formation energy at -151 kJ per mole of atoms.

Repeat the fourth record exactly.
The following is a PBE-GGA calculation of a relaxed Ba2ReMo crystal, from the Alexandria database.

It has space group Immm (No. 71), with a = 3.5271 Å, b = 3.8424 Å, c = 19.2887 Å, α = 90.00°, β = 90.00° and γ = 90.00°. The distinct sites, in fractional coordinates, are Ba at (0.0000, 0.0000, 0.1446), Re at (0.0000, 0.5000, 0.5000) and Mo at (0.0000, 0.5000, 0.0000).

The calculation puts the density at 7.07 Mg/m³. The calculation puts the total energy at -6.0604 eV per atom. The value obtained for the total magnetization is 0.554 μB/f.u. The value obtained for the calculated formation energy is 720.8 meV/atom. As for the energy relative to the lowest polymorph listed for this composition: 219 meV per atom.

Q: The lowest density belongs to which entry?
A: Cs2Na2Cl2O